Record 1
LiSc2As2 | SCAN | single point on PBEsol structure

Values from the calculation:
Total DFT energy (no corrections) ... -15.358 eV per atom
Space group ... P4/mbm (127)
N(E_F) ... 0.52 states/eV per atom
ΔH_f (0 K) ... -25.57 kcal/mol of atoms
Magnetic moment ... 0.00 μB per atom

```
LiSc2As2
1.0
7.1583 0.0000 0.0000
0.0000 7.1583 0.0000
0.0000 0.0000 3.6152
Li Sc As
2 4 4
direct
0.0000 0.0000 0.0000 Li
0.5000 0.5000 0.0000 Li
0.1521 0.3479 0.5000 Sc
0.3479 0.8479 0.5000 Sc
0.6521 0.1521 0.5000 Sc
0.8479 0.6521 0.5000 Sc
0.1557 0.6557 0.0000 As
0.3443 0.1557 0.0000 As
0.6557 0.8443 0.0000 As
0.8443 0.3443 0.0000 As
```



Record 2
CrCoN2 | SCAN | single point on PBEsol structure

Values from the calculation:
Total DFT energy (no corrections) ... -13.948 eV per atom
Energy relative to the elements, uncorrected ... -0.380 eV per atom
Space group ... I-42d (122)
N(E_F) ... 0.46 states/eV per atom
Polymorph energy (0 for the lowest one) ... 0.000 eV per atom
Magnetic moment ... 0.17 μB per atom

```
CrCoN2
1.0
-2.1191 2.1191 4.2564
2.1191 -2.1191 4.2564
2.1191 2.1191 -4.2564
Cr Co N
2 2 4
direct
0.0000 0.0000 0.0000 Cr
0.7500 0.2500 0.5000 Cr
0.2500 0.7500 0.5000 Co
0.5000 0.5000 0.0000 Co
0.1184 0.6250 0.9934 N
0.3750 0.3684 0.4934 N
0.6316 0.1250 0.0066 N
0.8750 0.8816 0.5066 N
```



Record 3
LaMg2Zn2 | SCAN | single point on PBEsol structure

Values from the calculation:
Total DFT energy (no corrections) ... -16.325 eV per atom
Space group ... I4/mmm (139)
N(E_F) ... 0.85 states/eV per atom
ΔH_f (0 K) ... -7.12 kcal/mol of atoms
Magnetic moment ... 0.00 μB per atom

```
LaMg2Zn2
1.0
-2.1544 2.1544 6.0139
2.1544 -2.1544 6.0139
2.1544 2.1544 -6.0139
La Mg Zn
1 2 2
direct
0.0000 0.0000 0.0000 La
0.2500 0.7500 0.5000 Mg
0.7500 0.2500 0.5000 Mg
0.3968 0.3968 0.0000 Zn
0.6032 0.6032 0.0000 Zn
```



Record 4
ScZn4Cr | SCAN | single point on PBEsol structure

Values from the calculation:
Total DFT energy (no corrections) ... -14.769 eV per atom
Space group ... F-43m (216)
N(E_F) ... 0.23 states/eV per atom
ΔH_f (0 K) ... -7.43 kcal/mol of atoms
Magnetic moment ... 0.50 μB per atom

```
ScZn4Cr
1.0
0.0000 3.5371 3.5371
3.5371 0.0000 3.5371
3.5371 3.5371 0.0000
Sc Zn Cr
1 4 1
direct
0.0000 0.0000 0.0000 Sc
0.1261 0.6246 0.6246 Zn
0.6246 0.1261 0.6246 Zn
0.6246 0.6246 0.1261 Zn
0.6246 0.6246 0.6246 Zn
0.2500 0.2500 0.2500 Cr
```



Record 5
ICl2O | SCAN | single point on PBEsol structure

Values from the calculation:
Total DFT energy (no corrections) ... -13.719 eV per atom
Energy relative to the elements, uncorrected ... 1.014 eV per atom
Space group ... Fm-3m (225)
N(E_F) ... 1.02 states/eV per atom
Magnetic moment ... 0.01 μB per atom

```
ICl2O
1.0
0.0000 3.3632 3.3632
3.3632 0.0000 3.3632
3.3632 3.3632 0.0000
I Cl O
1 2 1
direct
0.0000 0.0000 0.0000 I
0.2500 0.2500 0.2500 Cl
0.7500 0.7500 0.7500 Cl
0.5000 0.5000 0.5000 O
```



Record 6
AlTePdCl2 | SCAN | single point on PBEsol structure

Values from the calculation:
Total DFT energy (no corrections) ... -19.161 eV per atom
Energy relative to the elements, uncorrected ... -0.415 eV per atom
Space group ... P4/mmm (123)
N(E_F) ... 0.39 states/eV per atom
Magnetic moment ... 0.00 μB per atom

```
AlTePdCl2
1.0
4.3749 0.0000 0.0000
0.0000 4.3749 0.0000
0.0000 0.0000 5.7750
Al Te Pd Cl
1 1 1 2
direct
0.0000 0.0000 0.0000 Al
0.0000 0.0000 0.5000 Te
0.5000 0.5000 0.5000 Pd
0.0000 0.5000 0.0000 Cl
0.5000 0.0000 0.0000 Cl
```



Record 7
BaMgCd | SCAN | single point on PBEsol structure

Values from the calculation:
Total DFT energy (no corrections) ... -25.196 eV per atom
Space group ... P-6m2 (187)
N(E_F) ... 0.77 states/eV per atom
ΔH_f (0 K) ... -5.00 kcal/mol of atoms
Magnetic moment ... 0.02 μB per atom

```
BaMgCd
1.0
5.2859 0.0000 0.0000
-2.6429 4.5777 0.0000
0.0000 0.0000 3.9828
Ba Mg Cd
1 1 1
direct
0.0000 0.0000 0.0000 Ba
0.6667 0.3333 0.5000 Mg
0.3333 0.6667 0.5000 Cd
```



Record 8
Tl4PBr | SCAN | single point on PBEsol structure

Values from the calculation:
Total DFT energy (no corrections) ... -52.972 eV per atom
Energy relative to the elements, uncorrected ... 0.243 eV per atom
Space group ... F-43m (216)
N(E_F) ... 0.34 states/eV per atom
Magnetic moment ... 0.12 μB per atom

```
Tl4PBr
1.0
0.0000 4.3907 4.3907
4.3907 0.0000 4.3907
4.3907 4.3907 0.0000
Tl P Br
4 1 1
direct
0.1245 0.1245 0.1245 Tl
0.1245 0.1245 0.6264 Tl
0.1245 0.6264 0.1245 Tl
0.6264 0.1245 0.1245 Tl
0.7500 0.7500 0.7500 P
0.5000 0.5000 0.5000 Br
```



Record 9
TaRu2Rh | SCAN | single point on PBEsol structure

Values from the calculation:
Total DFT energy (no corrections) ... -42.811 eV per atom
Space group ... I-4m2 (119)
N(E_F) ... 0.87 states/eV per atom
ΔH_f (0 K) ... -7.14 kcal/mol of atoms
Polymorph energy (0 for the lowest one) ... 0.068 eV per atom
Magnetic moment ... 0.00 μB per atom

```
TaRu2Rh
1.0
-1.9279 1.9279 3.8441
1.9279 -1.9279 3.8441
1.9279 1.9279 -3.8441
Ta Ru Rh
1 2 1
direct
0.0000 0.0000 0.0000 Ta
0.2500 0.7500 0.5000 Ru
0.5000 0.5000 0.0000 Ru
0.7500 0.2500 0.5000 Rh
```



Record 10
TmAsPd | SCAN | single point on PBEsol structure

Values from the calculation:
Total DFT energy (no corrections) ... -36.241 eV per atom
Space group ... Pnma (62)
N(E_F) ... 0.02 states/eV per atom
ΔH_f (0 K) ... -30.18 kcal/mol of atoms
Magnetic moment ... 0.00 μB per atom

```
TmAsPd
1.0
6.8632 0.0000 0.0000
0.0000 4.0448 0.0000
0.0000 0.0000 7.7930
Tm As Pd
4 4 4
direct
0.0312 0.2500 0.1898 Tm
0.4688 0.7500 0.6898 Tm
0.5312 0.2500 0.3102 Tm
0.9688 0.7500 0.8102 Tm
0.2483 0.2500 0.8783 As
0.2517 0.7500 0.3783 As
0.7483 0.2500 0.6217 As
0.7517 0.7500 0.1217 As
0.1408 0.2500 0.5619 Pd
0.3592 0.7500 0.0619 Pd
0.6408 0.2500 0.9381 Pd
0.8592 0.7500 0.4381 Pd
```



Record 11
GeTePS2 | SCAN | single point on PBEsol structure

Values from the calculation:
Total DFT energy (no corrections) ... -16.568 eV per atom
Energy relative to the elements, uncorrected ... 0.631 eV per atom
Space group ... P4/mmm (123)
N(E_F) ... 0.62 states/eV per atom
Magnetic moment ... 0.00 μB per atom

```
GeTePS2
1.0
4.5716 0.0000 0.0000
0.0000 4.5716 0.0000
0.0000 0.0000 4.8053
Ge Te P S
1 1 1 2
direct
0.0000 0.0000 0.0000 Ge
0.5000 0.5000 0.5000 Te
0.0000 0.0000 0.5000 P
0.0000 0.5000 0.0000 S
0.5000 0.0000 0.0000 S
```



Record 12
Li2MgSi | SCAN | single point on PBEsol structure

Values from the calculation:
Total DFT energy (no corrections) ... -5.036 eV per atom
Energy relative to the elements, uncorrected ... -0.094 eV per atom
Space group ... Pmmm (47)
N(E_F) ... 0.29 states/eV per atom
Magnetic moment ... 0.00 μB per atom

```
Li2MgSi
1.0
3.5328 0.0000 0.0000
0.0000 4.2300 0.0000
0.0000 0.0000 4.3552
Li Mg Si
2 1 1
direct
0.0000 0.0000 0.0000 Li
0.5000 0.5000 0.0000 Li
0.0000 0.5000 0.5000 Mg
0.5000 0.0000 0.5000 Si
```



Record 13
KBe4Cu | SCAN | single point on PBEsol structure

Values from the calculation:
Total DFT energy (no corrections) ... -6.163 eV per atom
Space group ... F-43m (216)
N(E_F) ... 0.05 states/eV per atom
ΔH_f (0 K) ... 15.25 kcal/mol of atoms
Magnetic moment ... 0.00 μB per atom

```
KBe4Cu
1.0
0.0000 3.3244 3.3244
3.3244 0.0000 3.3244
3.3244 3.3244 0.0000
K Be Cu
1 4 1
direct
0.0000 0.0000 0.0000 K
0.1455 0.6182 0.6182 Be
0.6182 0.1455 0.6182 Be
0.6182 0.6182 0.1455 Be
0.6182 0.6182 0.6182 Be
0.2500 0.2500 0.2500 Cu
```



Record 14
Al2Sb | SCAN | single point on PBEsol structure

Values from the calculation:
Total DFT energy (no corrections) ... -17.460 eV per atom
Energy relative to the elements, uncorrected ... 0.128 eV per atom
Space group ... I4/mcm (140)
N(E_F) ... 0.40 states/eV per atom
Magnetic moment ... 0.00 μB per atom

```
Al2Sb
1.0
-2.7837 2.7837 4.1640
2.7837 -2.7837 4.1640
2.7837 2.7837 -4.1640
Al Sb
4 2
direct
0.1768 0.6768 0.8535 Al
0.3232 0.1768 0.5000 Al
0.6768 0.8232 0.5000 Al
0.8232 0.3232 0.1465 Al
0.2500 0.2500 0.0000 Sb
0.7500 0.7500 0.0000 Sb
```



Record 15
ZnAgP2 | SCAN | single point on PBEsol structure

Values from the calculation:
Total DFT energy (no corrections) ... -16.221 eV per atom
Space group ... Pm (6)
N(E_F) ... 0.21 states/eV per atom
ΔH_f (0 K) ... 4.58 kcal/mol of atoms
Magnetic moment ... 0.00 μB per atom

```
ZnAgP2
1.0
2.6392 0.0000 0.0000
0.0000 3.2032 0.0000
-1.2181 0.0000 7.5305
Zn Ag P
1 1 2
direct
0.0000 0.0000 0.0000 Zn
0.3868 0.5000 0.7644 Ag
0.1432 0.5000 0.2678 P
0.2400 0.0000 0.4797 P
```



Record 16
Ca2AsW | SCAN | single point on PBEsol structure

Values from the calculation:
Total DFT energy (no corrections) ... -27.101 eV per atom
Space group ... P4/mmm (123)
N(E_F) ... 0.38 states/eV per atom
ΔH_f (0 K) ... 4.62 kcal/mol of atoms
Magnetic moment ... 0.00 μB per atom

```
Ca2AsW
1.0
2.9931 0.0000 0.0000
0.0000 2.9931 0.0000
0.0000 0.0000 9.2203
Ca As W
2 1 1
direct
0.0000 0.0000 0.2372 Ca
0.0000 0.0000 0.7628 Ca
0.5000 0.5000 0.0000 As
0.5000 0.5000 0.5000 W
```